No. 1
A relaxed Co2PCl crystal, computed with PBE.

CIF file:
```
data_Co2PCl
_chemical_formula_sum 'Co2 P1 Cl1'
_cell_length_a 2.8345
_cell_length_b 2.8345
_cell_length_c 6.3162
_cell_angle_alpha 90.00
_cell_angle_beta 90.00
_cell_angle_gamma 90.00
_space_group_name_H-M_alt 'P 1'
_space_group_IT_number 1
loop_
_space_group_symop_operation_xyz
'x,y,z'
loop_
_atom_site_label
_atom_site_type_symbol
_atom_site_fract_x
_atom_site_fract_y
_atom_site_fract_z
_atom_site_occupancy
Cl1 Cl 0.5000 0.5000 0.7500 1
Co1 Co 0.0000 0.0000 0.0560 1
Co2 Co 0.0000 0.0000 0.4440 1
P1 P 0.5000 0.5000 0.2500 1
```

Summary:
The value obtained for the formation energy (no corrections) is 0.086 eV/atom. For the total energy, the calculation gives -5.2810 eV/atom. The density of states at the Fermi level comes out at 3.8 states/eV/f.u. The polymorph energy (0 for the lowest one) is 307 meV/atom. As for the space group: No. 123.

No. 2
A relaxed CoP2Cl crystal, computed with PBE.

CIF file:
```
data_CoP2Cl
_chemical_formula_sum 'Co1 P2 Cl1'
_cell_length_a 4.1996
_cell_length_b 4.1996
_cell_length_c 4.1993
_cell_angle_alpha 70.23
_cell_angle_beta 70.23
_cell_angle_gamma 108.86
_space_group_name_H-M_alt 'P 1'
_space_group_IT_number 1
loop_
_space_group_symop_operation_xyz
'x,y,z'
loop_
_atom_site_label
_atom_site_type_symbol
_atom_site_fract_x
_atom_site_fract_y
_atom_site_fract_z
_atom_site_occupancy
Cl1 Cl 0.5000 0.0000 0.5000 1
Co1 Co 0.0000 0.5000 0.5000 1
P1 P 0.0000 0.0000 0.0000 1
P2 P 0.5000 0.5000 0.0000 1
```

Summary:
The value obtained for the formation energy (no corrections) is 0.401 eV/atom. For the total energy, the calculation gives -4.5422 eV/atom. The density of states at the Fermi level comes out at 2.7 states/eV/f.u. The polymorph energy (0 for the lowest one) is 588 meV/atom. As for the space group: No. 139.

No. 3
A relaxed CoP2Cl2 crystal, computed with PBE.

CIF file:
```
data_CoP2Cl2
_chemical_formula_sum 'Co1 P2 Cl2'
_cell_length_a 3.1660
_cell_length_b 3.1660
_cell_length_c 11.1557
_cell_angle_alpha 81.84
_cell_angle_beta 81.84
_cell_angle_gamma 90.00
_space_group_name_H-M_alt 'P 1'
_space_group_IT_number 1
loop_
_space_group_symop_operation_xyz
'x,y,z'
loop_
_atom_site_label
_atom_site_type_symbol
_atom_site_fract_x
_atom_site_fract_y
_atom_site_fract_z
_atom_site_occupancy
P1 P 0.7500 0.2500 0.5000 1
P2 P 0.2500 0.7500 0.5000 1
Co1 Co 0.0000 0.0000 0.0000 1
Cl1 Cl 0.4325 0.4325 0.1350 1
Cl2 Cl 0.5675 0.5675 0.8650 1
```

Summary:
The value obtained for the formation energy (no corrections) is 0.140 eV/atom. For the total energy, the calculation gives -4.1837 eV/atom. The density of states at the Fermi level comes out at 2.2 states/eV/f.u. The polymorph energy (0 for the lowest one) is 0 meV/atom. As for the space group: No. 139.

No. 4
A relaxed CoP2Cl crystal, computed with PBE.

CIF file:
```
data_CoP2Cl
_chemical_formula_sum 'Co1 P2 Cl1'
_cell_length_a 6.3066
_cell_length_b 6.3066
_cell_length_c 2.6348
_cell_angle_alpha 90.00
_cell_angle_beta 90.00
_cell_angle_gamma 138.82
_space_group_name_H-M_alt 'P 1'
_space_group_IT_number 1
loop_
_space_group_symop_operation_xyz
'x,y,z'
loop_
_atom_site_label
_atom_site_type_symbol
_atom_site_fract_x
_atom_site_fract_y
_atom_site_fract_z
_atom_site_occupancy
Cl1 Cl 0.5000 0.0000 0.5000 1
Co1 Co 0.0000 0.5000 0.5000 1
P1 P 0.0000 0.0000 0.0000 1
P2 P 0.5000 0.5000 0.0000 1
```

Summary:
The value obtained for the formation energy (no corrections) is 0.646 eV/atom. For the total energy, the calculation gives -4.2966 eV/atom. The density of states at the Fermi level comes out at 4.2 states/eV/f.u. The polymorph energy (0 for the lowest one) is 834 meV/atom. As for the space group: No. 65.

No. 5
A relaxed CoPCl2 crystal, computed with PBE.

CIF file:
```
data_CoPCl2
_chemical_formula_sum 'Co1 P1 Cl2'
_cell_length_a 3.1880
_cell_length_b 3.1880
_cell_length_c 7.9478
_cell_angle_alpha 90.00
_cell_angle_beta 90.00
_cell_angle_gamma 90.00
_space_group_name_H-M_alt 'P 1'
_space_group_IT_number 1
loop_
_space_group_symop_operation_xyz
'x,y,z'
loop_
_atom_site_label
_atom_site_type_symbol
_atom_site_fract_x
_atom_site_fract_y
_atom_site_fract_z
_atom_site_occupancy
Cl1 Cl 0.0000 0.0000 0.9313 1
Cl2 Cl 0.5000 0.5000 0.3260 1
Co1 Co 0.0000 0.0000 0.6603 1
P1 P 0.5000 0.5000 0.5825 1
```

Summary:
The value obtained for the formation energy (no corrections) is -0.237 eV/atom. For the total energy, the calculation gives -4.2893 eV/atom. The density of states at the Fermi level comes out at 2.4 states/eV/f.u. The polymorph energy (0 for the lowest one) is 351 meV/atom. As for the space group: No. 99.

No. 6
A relaxed CoP2Cl crystal, computed with PBE.

CIF file:
```
data_CoP2Cl
_chemical_formula_sum 'Co1 P2 Cl1'
_cell_length_a 8.7248
_cell_length_b 8.7248
_cell_length_c 8.7248
_cell_angle_alpha 21.46
_cell_angle_beta 21.46
_cell_angle_gamma 21.46
_space_group_name_H-M_alt 'P 1'
_space_group_IT_number 1
loop_
_space_group_symop_operation_xyz
'x,y,z'
loop_
_atom_site_label
_atom_site_type_symbol
_atom_site_fract_x
_atom_site_fract_y
_atom_site_fract_z
_atom_site_occupancy
Cl1 Cl 0.4624 0.4624 0.4624 1
Co1 Co 0.7436 0.7436 0.7436 1
P1 P 0.0056 0.0056 0.0056 1
P2 P 0.2884 0.2884 0.2884 1
```

Summary:
The value obtained for the formation energy (no corrections) is -0.036 eV/atom. For the total energy, the calculation gives -4.9792 eV/atom. The density of states at the Fermi level comes out at 1.8 states/eV/f.u. The polymorph energy (0 for the lowest one) is 151 meV/atom. As for the space group: No. 160.

No. 7
A relaxed CoPCl2 crystal, computed with PBE.

CIF file:
```
data_CoPCl2
_chemical_formula_sum 'Co1 P1 Cl2'
_cell_length_a 8.0035
_cell_length_b 8.0035
_cell_length_c 8.0035
_cell_angle_alpha 24.27
_cell_angle_beta 24.27
_cell_angle_gamma 24.27
_space_group_name_H-M_alt 'P 1'
_space_group_IT_number 1
loop_
_space_group_symop_operation_xyz
'x,y,z'
loop_
_atom_site_label
_atom_site_type_symbol
_atom_site_fract_x
_atom_site_fract_y
_atom_site_fract_z
_atom_site_occupancy
P1 P 0.0000 0.0000 0.0000 1
Co1 Co 0.5000 0.5000 0.5000 1
Cl1 Cl 0.8943 0.8943 0.8943 1
Cl2 Cl 0.1057 0.1057 0.1057 1
```

Summary:
The value obtained for the formation energy (no corrections) is 0.195 eV/atom. For the total energy, the calculation gives -3.8577 eV/atom. The density of states at the Fermi level comes out at 4.2 states/eV/f.u. The polymorph energy (0 for the lowest one) is 782 meV/atom. As for the space group: No. 166.

No. 8
A relaxed Co2PCl crystal, computed with PBE.

CIF file:
```
data_Co2PCl
_chemical_formula_sum 'Co2 P1 Cl1'
_cell_length_a 3.6062
_cell_length_b 3.6276
_cell_length_c 5.5577
_cell_angle_alpha 90.00
_cell_angle_beta 90.00
_cell_angle_gamma 90.00
_space_group_name_H-M_alt 'P 1'
_space_group_IT_number 1
loop_
_space_group_symop_operation_xyz
'x,y,z'
loop_
_atom_site_label
_atom_site_type_symbol
_atom_site_fract_x
_atom_site_fract_y
_atom_site_fract_z
_atom_site_occupancy
Cl1 Cl 0.5000 0.8750 0.8834 1
Co1 Co 0.0000 0.8750 0.1385 1
Co2 Co 0.5000 0.3750 0.1307 1
P1 P 0.0000 0.3750 0.3474 1
```

Summary:
The value obtained for the formation energy (no corrections) is -0.095 eV/atom. For the total energy, the calculation gives -5.4625 eV/atom. The density of states at the Fermi level comes out at 3.5 states/eV/f.u. The polymorph energy (0 for the lowest one) is 125 meV/atom. As for the space group: No. 25.